Below is an optimized crystal structure of LaEuTlBi, with properties calculated at the GGA-PBE level.

**ΔE_f**: -0.562 eV/atom
**Space-group type**: F-43m

```
LaEuTlBi
1.0
-0.0329 5.4012 1.7318
-3.9878 3.5614 -1.8941
-4.0659 1.8293 3.5066
Tl La Bi Eu
1 1 1 1
direct
0.0000 0.0000 0.0000 Tl
0.2500 0.2500 0.2500 La
0.5000 0.5000 0.5000 Bi
0.7500 0.7500 0.7500 Eu
```

Below is an optimized crystal structure of Ho2NpTl3Se6, with properties calculated at the GGA-PBE level.

**Space-group type**: C2/m
**ΔE_f (raw)**: -14.54 eV/f.u.

```
Ho2NpTl3Se6
1.0
7.2712 -0.0003 0.0000
-3.6340 6.2979 0.0000
-1.2130 -2.1003 7.7541
Tl Se Ho Np
3 6 2 1
direct
0.5000 0.5000 0.5000 Tl
0.8343 0.1657 0.5000 Tl
0.1657 0.8343 0.5000 Tl
0.7296 0.7296 0.2034 Se
0.9319 0.5937 0.7958 Se
0.0681 0.4063 0.2042 Se
0.4063 0.0681 0.2042 Se
0.2704 0.2704 0.7966 Se
0.5937 0.9319 0.7958 Se
0.3332 0.6668 0.0000 Ho
0.6668 0.3332 0.0000 Ho
0.0000 0.0000 0.0000 Np
```

Below is an optimized crystal structure of Ti2InGa, with properties calculated at the GGA-PBE level.

**ΔE_f**: -0.277 eV/atom
**Space-group type**: P4/mmm

```
Ti2InGa
1.0
-0.5372 2.8143 2.9814
1.8012 -2.5199 2.7033
3.6568 1.6499 -0.8986
Ti In Ga
2 1 1
direct
0.0000 0.5000 0.0000 Ti
0.0000 0.0000 0.5000 Ti
0.5000 0.5000 0.5000 In
0.5000 0.0000 0.0000 Ga
```

What did we get for E_tot? Answer: -5.9246 -5.3870 -5.6660 eV/atom, in the order shown.
What did we get for ρ? Answer: 9.1 7.7 6.7 g/cm³, in the order shown.
What did we get for Fermi-level density of states? Answer: 3.49 5.99 3.34 states/eV/cell, in the order shown.